Entry from Alexandria: SrLiHoS3 after structural relaxation (PBE).

Properties
- formation energy without anion corrections (eV/atom) = -1.92
- SG = No. 11
- volume (Å³/cell) = 278

Unit cell a=8.3181 b=3.9887 c=8.6283 alpha=90.00 beta=103.51 gamma=90.00
Positions (direct):
Sr: 0.1885 0.2500 0.2353
Sr: 0.8115 0.7500 0.7647
Li: 0.0858 0.2500 0.5878
Li: 0.9142 0.7500 0.4122
Ho: 0.3313 0.7500 0.8342
Ho: 0.6687 0.2500 0.1658
S: 0.1140 0.2500 0.8673
S: 0.2098 0.7500 0.5138
S: 0.4401 0.7500 0.1637
S: 0.5599 0.2500 0.8363
S: 0.7902 0.2500 0.4862
S: 0.8860 0.7500 0.1327